A relaxed structure of PmPuHg3. Source: the Alexandria database, functional PBE-GGA.

energy of formation: -1.423 eV/f.u.
VASP energy: -0.1574 hartree per atom
energy above the lowest structure with this stoichiometry: 0.0000 eV per atom

Unit cell a=3.4088 b=5.0243 c=15.0696 alpha=90.00 beta=96.49 gamma=90.00
With the nearest neighbours (Å) after each atom.
Atoms (fractional coordinates):
Pu (0.2162, 0.7500, 0.4323)  7 Hg 3.25-3.31, 2 Pu 3.41
Pu (0.7838, 0.2500, 0.5677)  7 Hg 3.25-3.31, 2 Pu 3.41
Hg (0.3785, 0.2500, 0.7571)  3 Hg 2.91-2.98
Hg (0.6215, 0.7500, 0.2429)  3 Hg 2.91-2.98
Hg (0.6752, 0.2500, 0.3504)  2 Hg 2.98, 5 Pu 3.25-3.27
Hg (0.3248, 0.7500, 0.6496)  2 Hg 2.98, 5 Pu 3.25-3.27
Hg (0.5241, 0.7500, 0.0483)  3 Hg 2.90-2.91
Hg (0.4759, 0.2500, 0.9517)  3 Hg 2.90-2.91
Pm (0.9263, 0.7500, 0.8526)  12 Hg 3.36-3.48, 2 Pm 3.41
Pm (0.0737, 0.2500, 0.1474)  12 Hg 3.36-3.48, 2 Pm 3.41